[1]
This record from the Alexandria database describes an optimized crystal structure of AgGeAu6. The functional is GGA-PBE.

extended XYZ file:
```
8
Lattice="4.1689 0.0000 0.0000 0.0000 4.1689 0.0000 0.0000 0.0000 8.3675" Properties=species:S:1:pos:R:3 pbc="T T T"
Ag 0.0000 0.0000 0.0000
Ge 0.0000 0.0000 4.1837
Au 0.0000 2.0845 2.0817
Au 0.0000 2.0845 6.2858
Au 2.0845 0.0000 2.0817
Au 2.0845 0.0000 6.2858
Au 2.0845 2.0845 0.0000
Au 2.0845 2.0845 4.1837
```

Values from the calculation:
DFT formation energy: 0.04 eV/atom
Total magnetization: 0.00 μB per formula unit
SG: P4/mmm
Calculated volume: 145.4 Å³/cell
D(E_F): 0.34 states/eV/atom

[2]
This record from the Alexandria database describes an optimized crystal structure of YTlNiAg. The functional is GGA-PBE.

extended XYZ file:
```
4
Lattice="0.0000 3.4235 3.4235 3.4235 0.0000 3.4235 3.4235 3.4235 0.0000" Properties=species:S:1:pos:R:3 pbc="T T T"
Y 0.0000 0.0000 0.0000
Tl 3.4235 3.4235 3.4235
Ni 1.7118 1.7118 1.7118
Ag 5.1353 5.1353 5.1353
```

Values from the calculation:
DFT formation energy: -0.15 eV/atom
Total magnetization: 0.00 μB per formula unit
SG: F-43m
Calculated volume: 80.3 Å³/cell
D(E_F): 0.95 states/eV/atom

[3]
This record from the Alexandria database describes an optimized crystal structure of Pm5IrPb2. The functional is GGA-PBE.

extended XYZ file:
```
8
Lattice="-3.5959 3.5959 4.5663 3.5959 -3.5959 4.5663 3.5959 3.5959 -4.5663" Properties=species:S:1:pos:R:3 pbc="T T T"
Pm 0.0000 0.0000 0.0000
Pm 1.7946 1.7946 2.1863
Pm 1.8013 -1.8013 6.7526
Pm -1.8013 1.8013 6.7526
Pm 1.8013 1.8013 6.7526
Ir 0.0000 0.0000 3.4629
Pb 3.5959 0.0000 4.4594
Pb 0.0000 3.5959 4.4594
```

Values from the calculation:
DFT formation energy: -0.33 eV/atom
Total magnetization: 0.00 μB per formula unit
SG: I4mm
Calculated volume: 236.2 Å³/cell
D(E_F): 0.92 states/eV/atom

[4]
This record from the Alexandria database describes an optimized crystal structure of SmHo2Zn9. The functional is GGA-PBE.

extended XYZ file:
```
12
Lattice="2.7253 1.5735 8.5811 -2.7253 1.5735 8.5811 0.0000 -3.1469 8.5811" Properties=species:S:1:pos:R:3 pbc="T T T"
Sm 0.0000 0.0000 0.0000
Ho 0.0000 0.0000 3.6124
Ho 0.0000 0.0000 22.1309
Zn -1.3889 -0.8019 10.7180
Zn 0.0000 0.0000 8.6250
Zn 0.0000 -1.6037 15.0252
Zn -1.3889 0.8019 15.0252
Zn 0.0000 0.0000 12.8716
Zn 1.3889 -0.8019 10.7181
Zn 0.0000 1.6037 10.7181
Zn 0.0000 0.0000 17.1183
Zn 1.3889 0.8019 15.0252
```

Values from the calculation:
DFT formation energy: -0.32 eV/atom
Total magnetization: 0.00 μB per formula unit
SG: R-3m
Calculated volume: 220.8 Å³/cell
D(E_F): 0.57 states/eV/atom

[5]
This record from the Alexandria database describes an optimized crystal structure of Dy3Mg2Sc. The functional is GGA-PBE.

extended XYZ file:
```
6
Lattice="3.6214 0.0000 0.0000 0.0000 3.6214 0.0000 0.0000 0.0000 12.6509" Properties=species:S:1:pos:R:3 pbc="T T T"
Dy 0.0000 0.0000 0.0000
Dy 0.0000 0.0000 4.1820
Dy 0.0000 0.0000 8.4689
Mg 1.8107 1.8107 2.0727
Mg 1.8107 1.8107 10.5782
Sc 1.8107 1.8107 6.3254
```

Values from the calculation:
DFT formation energy: -0.03 eV/atom
Total magnetization: 0.19 μB per formula unit
SG: P4/mmm
Calculated volume: 165.9 Å³/cell
D(E_F): 1.57 states/eV/atom

[6]
This record from the Alexandria database describes an optimized crystal structure of LiPmPt. The functional is GGA-PBE.

extended XYZ file:
```
3
Lattice="4.3127 0.0000 0.0000 -2.1564 3.7349 0.0000 0.0000 0.0000 3.8615" Properties=species:S:1:pos:R:3 pbc="T T T"
Li 0.0000 0.0000 0.0000
Pm 2.1564 1.2450 1.9308
Pt 0.0000 2.4899 0.0000
```

Values from the calculation:
DFT formation energy: -0.73 eV/atom
Total magnetization: 0.00 μB per formula unit
SG: P-6m2
Calculated volume: 62.2 Å³/cell
D(E_F): 0.44 states/eV/atom